1.
{"formula": "AcSiOs", "functional": "GGA-PBE", "state": "relaxed", "lattice": [[0.0000, 3.3112, 3.3112], [3.3112, 0.0000, 3.3112], [3.3112, 3.3112, 0.0000]], "species": ["Ac", "Os", "Si"], "frac_coords": [[0.2500, 0.2500, 0.2500], [0.0000, 0.0000, 0.0000], [0.7500, 0.7500, 0.7500]], "final_energy_ev_per_atom": -6.685, "spacegroup": "F-43m (216)", "crystal_system": "cubic"}

***

2.
{"formula": "AcSmOs", "functional": "GGA-PBE", "state": "relaxed", "lattice": [[-2.7365, -1.4257, 3.9258], [4.9833, -0.2349, 0.2128], [0.3338, 10.8706, 4.1806]], "species": ["Ac", "Ac", "Ac", "Os", "Os", "Os", "Sm", "Sm", "Sm"], "frac_coords": [[0.3333, 0.6667, 0.1626], [0.3333, 0.6667, 0.5000], [0.3333, 0.6667, 0.8374], [0.6667, 0.3333, 0.0000], [0.0000, 0.0000, 0.3911], [0.0000, 0.0000, 0.6089], [0.0000, 0.0000, 0.0000], [0.6667, 0.3333, 0.3117], [0.6667, 0.3333, 0.6883]], "final_energy_ev_per_atom": -6.554, "spacegroup": "P-6m2 (187)", "ef_mev_per_atom": 127, "crystal_system": "hexagonal"}

***

3.
{"formula": "SrAcOs", "functional": "GGA-PBE", "state": "relaxed", "lattice": [[0.0000, 3.6138, 3.6138], [3.6138, 0.0000, 3.6138], [3.6138, 3.6138, 0.0000]], "species": ["Ac", "Os", "Sr"], "frac_coords": [[0.2500, 0.2500, 0.2500], [0.0000, 0.0000, 0.0000], [0.7500, 0.7500, 0.7500]], "final_energy_ev_per_atom": -5.346, "spacegroup": "F-43m (216)", "crystal_system": "cubic"}

***

4.
{"formula": "SrAc3Os", "functional": "GGA-PBE", "state": "relaxed", "lattice": [[-2.1515, 2.1969, 5.1080], [-5.1932, 1.1632, -2.6877], [-1.9869, -5.4192, 1.4938]], "species": ["Ac", "Ac", "Ac", "Os", "Sr"], "frac_coords": [[0.5000, 0.0000, 0.0000], [0.0000, 0.5000, 0.0000], [0.0000, 0.0000, 0.5000], [0.0000, 0.0000, 0.0000], [0.5000, 0.5000, 0.5000]], "final_energy_ev_per_atom": -5.081, "spacegroup": "Pm-3m (221)", "crystal_system": "cubic"}

***

5.
{"formula": "AcTaOs", "functional": "GGA-PBE", "state": "relaxed", "lattice": [[0.0000, 3.3107, 3.3107], [3.3107, 0.0000, 3.3107], [3.3107, 3.3107, 0.0000]], "species": ["Ac", "Os", "Ta"], "frac_coords": [[0.0000, 0.0000, 0.0000], [0.2500, 0.2500, 0.2500], [0.7500, 0.7500, 0.7500]], "final_energy_ev_per_atom": -7.227, "spacegroup": "F-43m (216)", "ef_mev_per_atom": 1835, "crystal_system": "cubic"}

***

6.
{"formula": "AcTbOs", "functional": "GGA-PBE", "state": "relaxed", "lattice": [[0.5078, -4.8169, -0.9264], [1.2666, -3.0889, 3.6295], [-3.2982, -3.2119, 1.7676]], "species": ["Ac", "Os", "Tb"], "frac_coords": [[0.0000, 0.0000, 0.0000], [0.2500, 0.2500, 0.2500], [0.7500, 0.7500, 0.7500]], "final_energy_ev_per_atom": -5.616, "spacegroup": "F-43m (216)", "ef_mev_per_atom": 1037, "crystal_system": "cubic"}

***

7.
{"formula": "AcTcOs", "functional": "GGA-PBE", "state": "relaxed", "lattice": [[-2.5526, 0.7415, 3.7104], [-4.5366, 0.3281, -0.3793], [-2.6726, -3.3205, 1.6322]], "species": ["Ac", "Os", "Tc"], "frac_coords": [[0.0000, 0.0000, 0.0000], [0.2500, 0.2500, 0.2500], [0.7500, 0.7500, 0.7500]], "final_energy_ev_per_atom": -6.859, "spacegroup": "F-43m (216)", "ef_mev_per_atom": 1705, "crystal_system": "cubic"}

***

8.
{"formula": "AcOsW", "functional": "GGA-PBE", "state": "relaxed", "lattice": [[3.5636, 2.2091, 1.8883], [-0.7271, 3.2377, 3.1834], [1.1339, -0.7919, 4.3855]], "species": ["Ac", "Os", "W"], "frac_coords": [[0.0000, 0.0000, 0.0000], [0.2500, 0.2500, 0.2500], [0.7500, 0.7500, 0.7500]], "final_energy_ev_per_atom": -7.282, "spacegroup": "F-43m (216)", "ef_mev_per_atom": 2148, "crystal_system": "cubic"}

***

9.
{"formula": "Ac2Zn2Os", "functional": "GGA-PBE", "state": "relaxed", "lattice": [[-3.0112, 3.0112, 7.0513], [3.0112, -3.0112, 7.0513], [3.0112, 3.0112, -7.0513]], "species": ["Ac", "Ac", "Ac", "Ac", "Os", "Os", "Zn", "Zn", "Zn", "Zn"], "frac_coords": [[0.3750, 0.6250, 0.2500], [0.8750, 0.6250, 0.2500], [0.3750, 0.1250, 0.7500], [0.3750, 0.6250, 0.7500], [0.0000, 0.0000, 0.0000], [0.7500, 0.2500, 0.5000], [0.1768, 0.1768, 0.0000], [0.8232, 0.8232, 0.0000], [0.5732, 0.0732, 0.5000], [0.9268, 0.4268, 0.5000]], "final_energy_ev_per_atom": -3.805, "spacegroup": "I4_1/amd (141)", "ef_mev_per_atom": 588, "crystal_system": "tetragonal"}

***

10.
{"formula": "AcZnOs", "functional": "GGA-PBE", "state": "relaxed", "lattice": [[0.0000, 3.3108, 3.3108], [3.3108, 0.0000, 3.3108], [3.3108, 3.3108, 0.0000]], "species": ["Ac", "Os", "Zn"], "frac_coords": [[0.2500, 0.2500, 0.2500], [0.7500, 0.7500, 0.7500], [0.0000, 0.0000, 0.0000]], "final_energy_ev_per_atom": -5.020, "spacegroup": "F-43m (216)", "ef_mev_per_atom": 512, "crystal_system": "cubic"}

***

11.
{"formula": "AcZnOs", "functional": "GGA-PBE", "state": "relaxed", "lattice": [[3.5524, -3.3525, -0.4391], [-0.4851, -4.3825, 2.1472], [-0.7314, -4.0037, -2.7362]], "species": ["Ac", "Os", "Zn"], "frac_coords": [[0.0000, 0.0000, 0.0000], [0.2500, 0.2500, 0.2500], [0.7500, 0.7500, 0.7500]], "final_energy_ev_per_atom": -4.422, "spacegroup": "F-43m (216)", "ef_mev_per_atom": 1111, "crystal_system": "cubic"}

***

12.
{"formula": "AcP2Pd5", "functional": "GGA-PBE", "state": "relaxed", "lattice": [[-0.5364, -6.1283, -1.4124], [-4.1331, -1.7091, 4.4537], [0.4490, 3.6386, -5.1379]], "species": ["Ac", "P", "P", "Pd", "Pd", "Pd", "Pd", "Pd"], "frac_coords": [[0.0000, 0.0000, 0.0000], [0.7420, 0.2420, 0.5000], [0.2580, 0.7580, 0.5000], [0.5403, 0.3434, 0.1970], [0.8536, 0.6566, 0.1970], [0.5000, 0.0000, 0.5000], [0.1464, 0.3434, 0.8030], [0.4597, 0.6566, 0.8030]], "final_energy_ev_per_atom": -5.872, "spacegroup": "Immm (71)", "crystal_system": "orthorhombic"}

***

Copy entry 5 word for word.
{"formula": "AcTaOs", "functional": "GGA-PBE", "state": "relaxed", "lattice": [[0.0000, 3.3107, 3.3107], [3.3107, 0.0000, 3.3107], [3.3107, 3.3107, 0.0000]], "species": ["Ac", "Os", "Ta"], "frac_coords": [[0.0000, 0.0000, 0.0000], [0.2500, 0.2500, 0.2500], [0.7500, 0.7500, 0.7500]], "final_energy_ev_per_atom": -7.227, "spacegroup": "F-43m (216)", "ef_mev_per_atom": 1835, "crystal_system": "cubic"}